[1]
A relaxed structure of LaDyRuRh. Source: Alexandria, functional PBE.

abc: 4.943 4.943 4.943
angles: 60.00 60.00 60.00
Fractional positions:
La: 0.000 0.000 0.000
Dy: 0.500 0.500 0.500
Ru: 0.750 0.750 0.750
Rh: 0.250 0.250 0.250

## Properties
Space group = F-43m
Energy = -7.004 eV per atom

=====

[2]
A relaxed structure of LaDySb2Rh5. Source: Alexandria, functional PBE.

abc: 4.490 4.490 9.003
angles: 90.00 90.00 90.00
Fractional positions:
La: 0.000 0.000 0.000
Dy: 0.000 0.000 0.500
Sb: 0.500 0.500 0.344
Sb: 0.500 0.500 0.656
Rh: 0.000 0.500 0.220
Rh: 0.000 0.500 0.780
Rh: 0.500 0.000 0.220
Rh: 0.500 0.000 0.780
Rh: 0.500 0.500 0.000

## Properties
Space group = P4/mmm
Formation energy from raw total energies = -527 meV/atom

=====

[3]
A relaxed structure of LaDyTh2Rh4. Source: Alexandria, functional PBE.

abc: 7.077 5.778 6.899
angles: 67.19 48.82 63.99
Fractional positions:
La: 0.000 0.000 0.000
Dy: 0.568 0.568 0.432
Th: 0.234 0.234 0.266
Th: 0.734 0.734 0.766
Rh: 0.080 0.482 0.920
Rh: 0.247 0.712 0.288
Rh: 0.482 0.080 0.518
Rh: 0.712 0.247 0.753

## Properties
Space group = Fmm2
Energy = -7.505 eV per atom

=====

DOS at the Fermi energy list, top to bottom, in states/eV/atom: 0.74; 0.60; 0.71